Record 1
# Sr2TlFe2N3, optimized geometry, DFT PBE
# Calculated total energy = -6.192 eV per atom
data_Sr2TlFe2N3
_symmetry_space_group_name_H-M 'C 1 2/c 1'
_symmetry_Int_Tables_number 15
_symmetry_space_group_name_Hall '-C 2yc'
_cell_length_a 6.795
_cell_length_b 11.216
_cell_length_c 7.234
_cell_angle_alpha 90.00
_cell_angle_beta 95.60
_cell_angle_gamma 90.00
loop_
_atom_site_label
_atom_site_type_symbol
_atom_site_fract_x
_atom_site_fract_y
_atom_site_fract_z
Sr1 Sr 0.247 0.064 0.112
Tl1 Tl 0.000 0.185 0.750
Fe1 Fe 0.126 0.295 0.401
N1 N 0.000 0.407 0.250
N2 N 0.181 0.136 0.438

---

Record 2
# BaGdGa4Pt2, optimized geometry, DFT PBE
# Calculated total energy = -4.551 eV per atom
data_BaGdGa4Pt2
_symmetry_space_group_name_H-M 'A m m 2'
_symmetry_Int_Tables_number 38
_symmetry_space_group_name_Hall 'A 2 -2'
_cell_length_a 7.092
_cell_length_b 4.419
_cell_length_c 10.745
_cell_angle_alpha 90.00
_cell_angle_beta 90.00
_cell_angle_gamma 90.00
loop_
_atom_site_label
_atom_site_type_symbol
_atom_site_fract_x
_atom_site_fract_y
_atom_site_fract_z
Ba1 Ba 0.000 0.000 0.000
Gd1 Gd 0.500 0.000 0.845
Ga1 Ga 0.203 0.000 0.282
Ga2 Ga 0.316 0.000 0.570
Pt1 Pt 0.000 0.000 0.721
Pt2 Pt 0.500 0.000 0.132

---

Record 3
# Hf2Ni3Mo4C3, optimized geometry, DFT PBE
# Calculated total energy = -9.236 eV per atom
data_Hf2Ni3Mo4C3
_symmetry_space_group_name_H-M 'C 1 2/c 1'
_symmetry_Int_Tables_number 15
_symmetry_space_group_name_Hall '-C 2yc'
_cell_length_a 9.152
_cell_length_b 5.282
_cell_length_c 13.395
_cell_angle_alpha 90.00
_cell_angle_beta 103.43
_cell_angle_gamma 90.00
loop_
_atom_site_label
_atom_site_type_symbol
_atom_site_fract_x
_atom_site_fract_y
_atom_site_fract_z
Hf1 Hf 0.042 0.082 0.381
Ni1 Ni 0.000 0.432 0.750
Ni2 Ni 0.239 0.152 0.752
Mo1 Mo 0.112 0.409 0.585
Mo2 Mo 0.225 0.420 0.915
C1 C 0.081 0.244 0.000
C2 C 0.250 0.250 0.500

---

Record 4
# ZrFeSi, optimized geometry, DFT PBE
# Calculated total energy = -8.003 eV per atom
data_ZrFeSi
_symmetry_space_group_name_H-M 'P 63 m c'
_symmetry_Int_Tables_number 186
_symmetry_space_group_name_Hall 'P 6c -2c'
_cell_length_a 4.0731
_cell_length_b 4.0731
_cell_length_c 6.3991
_cell_angle_alpha 90.00
_cell_angle_beta 90.00
_cell_angle_gamma 120.00
loop_
_atom_site_label
_atom_site_type_symbol
_atom_site_fract_x
_atom_site_fract_y
_atom_site_fract_z
Zr1 Zr 0.0000 0.0000 0.0000
Fe1 Fe 0.3333 0.6667 0.3021
Si1 Si 0.3333 0.6667 0.7328

---

Record 5
# PrYU, optimized geometry, DFT PBE
# Energy relative to the elements = 1.261 eV/atom
# Calculated total energy = -6.251 eV per atom
data_PrYU
_symmetry_space_group_name_H-M 'F -4 3 m'
_symmetry_Int_Tables_number 216
_symmetry_space_group_name_Hall 'F -4 2 3'
_cell_length_a 7.506
_cell_length_b 7.506
_cell_length_c 7.506
_cell_angle_alpha 90.00
_cell_angle_beta 90.00
_cell_angle_gamma 90.00
loop_
_atom_site_label
_atom_site_type_symbol
_atom_site_fract_x
_atom_site_fract_y
_atom_site_fract_z
Pr1 Pr 0.000 0.000 0.000
Y1 Y 0.000 0.000 0.500
U1 U 0.250 0.250 0.250

---

Record 6
# Er3Ni, optimized geometry, DFT PBE
# Energy relative to the elements = -0.269 eV/atom
# Calculated total energy = -5.084 eV per atom
data_Er3Ni
_symmetry_space_group_name_H-M 'P n m a'
_symmetry_Int_Tables_number 62
_symmetry_space_group_name_Hall '-P 2ac 2n'
_cell_length_a 6.771
_cell_length_b 9.458
_cell_length_c 6.238
_cell_angle_alpha 90.00
_cell_angle_beta 90.00
_cell_angle_gamma 90.00
loop_
_atom_site_label
_atom_site_type_symbol
_atom_site_fract_x
_atom_site_fract_y
_atom_site_fract_z
Er1 Er 0.032 0.250 0.138
Er2 Er 0.179 0.065 0.678
Ni1 Ni 0.109 0.750 0.445